Record 1
{"formula": "Ta2MoRu", "functional": "PBE", "state": "relaxed", "dos_at_fermi_per_ev_cell": 2.88, "magnetic_moment_mub_per_fu": 0.000, "lattice": [[2.848, 0.000, 0.000], [0.000, 4.532, 0.000], [-1.027, 0.000, 5.111]], "species": ["Ta", "Ta", "Mo", "Ru"], "fractional_positions": [[0.000, 0.000, 0.000], [0.273, 0.500, 0.734], [0.771, 0.500, 0.233], [0.511, 0.000, 0.499]]}

Record 2
{"formula": "TaMo2Ru", "functional": "PBE", "state": "relaxed", "dos_at_fermi_per_ev_cell": 3.91, "magnetic_moment_mub_per_fu": 0.000, "lattice": [[-2.239, 2.239, 3.173], [2.239, -2.239, 3.173], [2.239, 2.239, -3.173]], "species": ["Ta", "Mo", "Mo", "Ru"], "fractional_positions": [[0.000, 0.000, 0.000], [0.250, 0.750, 0.500], [0.500, 0.500, 0.000], [0.750, 0.250, 0.500]]}

Record 3
{"formula": "TaTcMo2Ru", "functional": "PBE", "state": "relaxed", "dos_at_fermi_per_ev_cell": 8.04, "magnetic_moment_mub_per_fu": 0.000, "lattice": [[4.601, 0.000, 0.000], [0.000, 4.601, 0.000], [0.000, 0.000, 4.740]], "species": ["Ta", "Tc", "Mo", "Mo", "Ru"], "fractional_positions": [[0.000, 0.000, 0.000], [0.000, 0.000, 0.500], [0.000, 0.500, 0.500], [0.500, 0.000, 0.500], [0.500, 0.500, 0.000]]}

Quick rundown of ΔE_f, same order as above: -142.9 -87.3 1672.5 meV per atom
Quick rundown of E_tot, same order as above: -44.38 -43.14 -44.79 eV/cell